Entry 1:
Computed, not measured: crystalline YAl3 at its relaxed geometry at the PBE level of DFT.

Output
The calculation puts the calculated formation energy at -0.355 eV/atom. The total energy comes out at -4.778 eV/atom. The space group is No. 59. Its density is 3.53 g/cm³.

Cell lengths 5.593, 6.016, 14.249 Å; angles 90.00, 90.00, 90.00 degrees
Sites, in units of the cell vectors:
Al  0.573  0.037  0.750
Al  0.427  0.537  0.250
Al  0.152  0.992  0.080
Al  0.152  0.508  0.420
Al  0.848  0.492  0.580
Al  0.848  0.492  0.920
Al  0.347  0.250  0.573
Al  0.848  0.008  0.920
Al  0.935  0.750  0.750
Al  0.065  0.250  0.250
Al  0.152  0.992  0.420
Al  0.347  0.250  0.927
Al  0.848  0.008  0.580
Al  0.573  0.463  0.750
Al  0.653  0.750  0.427
Al  0.653  0.750  0.073
Al  0.152  0.508  0.080
Al  0.427  0.963  0.250
Y  0.346  0.750  0.601
Y  0.920  0.750  0.250
Y  0.346  0.750  0.899
Y  0.654  0.250  0.101
Y  0.654  0.250  0.399
Y  0.080  0.250  0.750

***

Entry 2:
Computed, not measured: crystalline CeSmSi at its relaxed geometry at the PBE level of DFT.

Output
For the relative energy among the computed polymorphs, the calculation gives 53 kJ/mol of formula units. The value obtained for the formation energy (no corrections) is -0.3792 eV per atom. The total energy comes out at -5.738 eV/atom. The space group is No. 12. Its density is 6.85 g/cm³.

Cell lengths 4.408, 4.408, 8.923 Å; angles 73.47, 73.47, 72.04 degrees
Sites, in units of the cell vectors:
Ce  0.307  0.307  0.915
Ce  0.693  0.693  0.085
Si  0.984  0.984  0.245
Si  0.016  0.016  0.755
Sm  0.288  0.288  0.388
Sm  0.712  0.712  0.612